(P)
Below is a relaxed YSb2Mo crystal, with properties calculated at the PBE level.

The structure in POSCAR format:
```
YSb2Mo
1.0
-1.6824 1.2761 3.9954
-3.1800 0.5345 -1.5098
-2.1829 -5.3977 0.8048
Mo Sb Y
1 2 1
direct
0.5000 0.7500 0.7500 Mo
0.0000 0.8934 0.9875 Sb
0.0000 0.6066 0.5125 Sb
0.5000 0.2500 0.2500 Y
```

Space group: No. 10
Spin magnetization, Bohr magnetons per cell: 0.000

(Q)
Below is a relaxed YSb2Mo crystal, with properties calculated at the PBE level.

The structure in POSCAR format:
```
YSb2Mo
1.0
-4.7410 -8.1645 -1.5872
-3.5987 -8.7159 1.6549
-6.5285 -6.9116 1.1249
Mo Sb Y
1 2 1
direct
0.7449 0.7449 0.7449 Mo
0.0133 0.0133 0.0133 Sb
0.2501 0.2501 0.2501 Sb
0.4917 0.4917 0.4917 Y
```

Space group: No. 160
Spin magnetization, Bohr magnetons per cell: 0.074

Energies relative to the minimum, eV/atom: (P) 0.000; (Q) 0.197

(P)
Below is a relaxed ZnSb3Mo crystal, with properties calculated at the PBE level.

The structure in POSCAR format:
```
ZnSb3Mo
1.0
5.1547 0.0000 0.0000
0.0000 5.1547 0.0000
0.0000 0.0000 5.1547
Sb Mo Zn
3 1 1
direct
0.0000 0.5000 0.0000 Sb
0.0000 0.0000 0.5000 Sb
0.5000 0.0000 0.0000 Sb
0.5000 0.5000 0.5000 Mo
0.0000 0.0000 0.0000 Zn
```

Space group: No. 221
Spin magnetization, Bohr magnetons per cell: 3.541

(Q)
Below is a relaxed ZnSb3Mo crystal, with properties calculated at the PBE level.

The structure in POSCAR format:
```
ZnSb3Mo
1.0
5.2538 0.0000 0.0000
0.0000 5.2538 0.0000
0.0000 0.0000 5.2538
Sb Mo Zn
3 1 1
direct
0.0000 0.5000 0.0000 Sb
0.0000 0.0000 0.5000 Sb
0.5000 0.0000 0.0000 Sb
0.0000 0.0000 0.0000 Mo
0.5000 0.5000 0.5000 Zn
```

Space group: No. 221
Spin magnetization, Bohr magnetons per cell: 0.000

Energies relative to the minimum, eV/atom: (P) 0.602; (Q) 0.000

(P)
Below is a relaxed ZrSbMo3 crystal, with properties calculated at the PBE level.

The structure in POSCAR format:
```
ZrSbMo3
1.0
-1.3609 -2.1780 -4.1312
4.0928 -2.6288 0.0376
-2.2494 -3.4653 2.5680
Sb Mo Zr
1 3 1
direct
0.0000 0.0000 0.0000 Sb
0.0000 0.5000 0.0000 Mo
0.0000 0.0000 0.5000 Mo
0.5000 0.0000 0.0000 Mo
0.5000 0.5000 0.5000 Zr
```

Space group: No. 221
Spin magnetization, Bohr magnetons per cell: 0.177

(Q)
Below is a relaxed ZrSbMo3 crystal, with properties calculated at the PBE level.

The structure in POSCAR format:
```
ZrSbMo3
1.0
4.8582 0.0000 0.0000
0.0000 4.8582 0.0000
0.0000 0.0000 4.8582
Sb Mo Zr
1 3 1
direct
0.5000 0.5000 0.5000 Sb
0.0000 0.5000 0.0000 Mo
0.0000 0.0000 0.5000 Mo
0.5000 0.0000 0.0000 Mo
0.0000 0.0000 0.0000 Zr
```

Space group: No. 221
Spin magnetization, Bohr magnetons per cell: 2.135

Energies relative to the minimum, eV/atom: (P) 0.000; (Q) 0.309

(P)
Below is a relaxed ZrSb2Mo crystal, with properties calculated at the PBE level.

The structure in POSCAR format:
```
ZrSb2Mo
1.0
0.0000 3.4426 3.4426
3.4426 0.0000 3.4426
3.4426 3.4426 0.0000
Sb Mo Zr
2 1 1
direct
0.2500 0.2500 0.2500 Sb
0.7500 0.7500 0.7500 Sb
0.5000 0.5000 0.5000 Mo
0.0000 0.0000 0.0000 Zr
```

Space group: No. 225
Spin magnetization, Bohr magnetons per cell: 0.000

(Q)
Below is a relaxed ZrSb2Mo crystal, with properties calculated at the PBE level.

The structure in POSCAR format:
```
ZrSb2Mo
1.0
-7.7487 4.2799 -2.7507
-7.3822 1.9943 -5.2394
-8.9027 1.1106 -2.3309
Mo Sb Zr
1 2 1
direct
0.7502 0.7502 0.7502 Mo
0.0126 0.0126 0.0126 Sb
0.2449 0.2449 0.2449 Sb
0.4923 0.4923 0.4923 Zr
```

Space group: No. 160
Spin magnetization, Bohr magnetons per cell: 0.000

(R)
Below is a relaxed ZrSb2Mo crystal, with properties calculated at the PBE level.

The structure in POSCAR format:
```
ZrSb2Mo
1.0
9.1422 0.0215 0.0127
8.5368 3.2715 0.0127
8.5368 1.5901 2.8591
Mo Sb Zr
1 2 1
direct
0.7500 0.7500 0.7500 Mo
0.0075 0.0075 0.0075 Sb
0.4925 0.4925 0.4925 Sb
0.2500 0.2500 0.2500 Zr
```

Space group: No. 166
Spin magnetization, Bohr magnetons per cell: 0.000

(S)
Below is a relaxed ZrSb2Mo crystal, with properties calculated at the PBE level.

The structure in POSCAR format:
```
ZrSb2Mo
1.0
-4.7620 -2.5390 -0.4333
-3.1126 -3.6049 2.5745
-2.7466 2.9458 2.5500
Mo Sb Zr
1 2 1
direct
0.2842 0.2842 0.1664 Mo
0.9998 0.9998 0.0720 Sb
0.7447 0.7447 0.6760 Sb
0.4714 0.4714 0.5855 Zr
```

Space group: No. 8
Spin magnetization, Bohr magnetons per cell: 0.000

Energies relative to the minimum, eV/atom: (P) 0.048; (Q) 0.201; (R) 0.209; (S) 0.000

(P)
Below is a relaxed ZrSbMo crystal, with properties calculated at the PBE level.

The structure in POSCAR format:
```
ZrSbMo
1.0
-1.9859 0.2367 4.2297
-4.5440 -0.9908 0.5096
-1.3078 -3.9205 2.1930
Mo Sb Zr
1 1 1
direct
0.0000 0.0000 0.0000 Mo
0.5000 0.5000 0.5000 Sb
0.2500 0.2500 0.2500 Zr
```

Space group: No. 216
Spin magnetization, Bohr magnetons per cell: 0.159

(Q)
Below is a relaxed ZrSbMo crystal, with properties calculated at the PBE level.

The structure in POSCAR format:
```
ZrSbMo
1.0
3.3895 0.0000 0.0000
-1.6947 2.9354 0.0000
0.0000 0.0000 6.4082
Mo Sb Zr
1 1 1
direct
0.0000 0.0000 0.0013 Mo
0.6667 0.3333 0.3108 Sb
0.3333 0.6667 0.6879 Zr
```

Space group: No. 156
Spin magnetization, Bohr magnetons per cell: 0.000

(R)
Below is a relaxed ZrSbMo crystal, with properties calculated at the PBE level.

The structure in POSCAR format:
```
ZrSbMo
1.0
-1.4534 -1.8893 -4.7535
-3.5961 -3.8625 -0.6533
0.6972 4.5987 2.5775
Mo Sb Zr
1 1 1
direct
0.9953 0.9953 0.0000 Mo
0.3428 0.3428 0.0000 Sb
0.6619 0.6619 0.0000 Zr
```

Space group: No. 107
Spin magnetization, Bohr magnetons per cell: 0.000

(S)
Below is a relaxed ZrSbMo crystal, with properties calculated at the PBE level.

The structure in POSCAR format:
```
ZrSbMo
1.0
-5.6516 -1.1901 -4.0807
-3.1398 -2.2722 -5.6289
-1.5725 -2.4089 1.2655
Mo Sb Zr
1 1 1
direct
0.0005 0.0005 0.9995 Mo
0.6597 0.6597 0.3403 Sb
0.3397 0.3397 0.6603 Zr
```

Space group: No. 42
Spin magnetization, Bohr magnetons per cell: 0.000

Energies relative to the minimum, eV/atom: (P) 0.757; (Q) 0.223; (R) 0.000; (S) 0.200

(P)
Below is a relaxed ZrSbMo crystal, with properties calculated at the PBE level.

The structure in POSCAR format:
```
ZrSbMo
1.0
-0.7224 -1.4400 4.3096
3.4873 -1.7020 2.4718
1.6953 2.3983 3.5415
Mo Sb Zr
1 1 1
direct
0.2500 0.2500 0.2500 Mo
0.0000 0.0000 0.0000 Sb
0.5000 0.5000 0.5000 Zr
```

Space group: No. 216
Spin magnetization, Bohr magnetons per cell: 0.000

(Q)
Below is a relaxed ZrSbMo crystal, with properties calculated at the PBE level.

The structure in POSCAR format:
```
ZrSbMo
1.0
-2.3023 3.2812 -2.6570
2.8429 -3.2471 -2.1214
-2.3439 -1.8702 -0.2785
Mo Sb Zr
1 1 1
direct
0.0000 0.0000 0.1250 Mo
0.3333 0.6667 0.1623 Sb
0.6667 0.3333 0.7126 Zr
```

Space group: No. 156
Spin magnetization, Bohr magnetons per cell: 0.000

Energies relative to the minimum, eV/atom: (P) 0.248; (Q) 0.000